(1)
Computed, not measured: an optimized crystal structure of Ba2In4SnPd3 at the GGA-PBE level of DFT.

The structure in POSCAR format:
```
Ba2In4SnPd3
1.0
4.747 0.000 0.000
0.000 4.747 0.000
0.000 0.000 11.710
Ba In Sn Pd
2 4 1 3
direct
0.000 0.500 0.247
0.500 0.000 0.753
0.000 0.000 0.000
0.000 0.500 0.643
0.500 0.000 0.357
0.500 0.500 0.000
0.000 0.000 0.500
0.000 0.500 0.876
0.500 0.000 0.124
0.500 0.500 0.500
```

Computed properties:
SG: P-4m2 (115)
total magnetic moment: 0.000 μB per atom
N(E_F): 4.98 states/eV per cell
ΔE_f: -0.54 eV per atom

(2)
Computed, not measured: an optimized crystal structure of Cs3KF at the GGA-PBE level of DFT.

The structure in POSCAR format:
```
Cs3KF
1.0
6.702 0.000 0.000
0.000 6.702 0.000
0.000 0.000 6.702
Cs K F
3 1 1
direct
0.000 0.000 0.500
0.000 0.500 0.000
0.500 0.000 0.000
0.500 0.500 0.500
0.000 0.000 0.000
```

Computed properties:
electronic total energy: -10.328 eV for the cell shown
SG: Pm-3m (221)
total magnetic moment: 0.000 μB per atom
N(E_F): 4.15 states/eV per cell

(3)
Computed, not measured: an optimized crystal structure of LaTb6Dy3Ho2 at the GGA-PBE level of DFT.

The structure in POSCAR format:
```
LaTb6Dy3Ho2
1.0
3.089 -5.347 0.000
3.089 5.347 0.000
-2.051 0.000 11.657
La Tb Dy Ho
1 6 3 2
direct
0.000 0.000 0.000
0.085 0.419 0.252
0.250 0.250 0.748
0.419 0.085 0.252
0.581 0.915 0.748
0.750 0.750 0.252
0.915 0.581 0.748
0.167 0.833 0.500
0.500 0.500 0.500
0.833 0.167 0.500
0.333 0.667 0.000
0.667 0.333 0.000
```

Computed properties:
SG: C2/m (12)
total magnetic moment: 0.000 μB per atom
N(E_F): 15.59 states/eV per cell
ΔE_f: 0.02 eV per atom

(4)
Computed, not measured: an optimized crystal structure of SrMgGe2 at the GGA-PBE level of DFT.

The structure in POSCAR format:
```
SrMgGe2
1.0
8.213 0.000 0.000
0.000 4.220 0.000
0.000 0.000 11.344
Sr Mg Ge
4 4 8
direct
0.128 0.250 0.132
0.372 0.750 0.632
0.628 0.250 0.368
0.872 0.750 0.868
0.006 0.250 0.619
0.494 0.750 0.119
0.506 0.250 0.881
0.994 0.750 0.381
0.171 0.250 0.827
0.216 0.250 0.431
0.284 0.750 0.931
0.329 0.750 0.327
0.671 0.250 0.673
0.716 0.250 0.069
0.784 0.750 0.569
0.829 0.750 0.173
```

Computed properties:
SG: Pnma (62)
total magnetic moment: 0.000 μB per atom
N(E_F): 4.25 states/eV per cell
ΔE_f: -0.44 eV per atom

(5)
Computed, not measured: an optimized crystal structure of Pr3Ag3Hg2 at the GGA-PBE level of DFT.

The structure in POSCAR format:
```
Pr3Ag3Hg2
1.0
7.625 0.000 0.000
-3.812 6.603 0.000
0.000 0.000 4.228
Pr Ag Hg
3 3 2
direct
0.000 0.369 0.000
0.369 0.000 0.000
0.631 0.631 0.000
0.000 0.773 0.500
0.227 0.227 0.500
0.773 0.000 0.500
0.333 0.667 0.500
0.667 0.333 0.500
```

Computed properties:
SG: P-62m (189)
total magnetic moment: 0.000 μB per atom
N(E_F): 7.79 states/eV per cell
ΔE_f: -0.27 eV per atom

(6)
Computed, not measured: an optimized crystal structure of Sc2BeIF at the GGA-PBE level of DFT.

The structure in POSCAR format:
```
Sc2BeIF
1.0
4.868 0.000 0.000
0.000 4.868 0.000
0.000 0.000 4.878
Sc Be I F
2 1 1 1
direct
0.000 0.500 0.000
0.500 0.000 0.000
0.000 0.000 0.000
0.000 0.000 0.500
0.500 0.500 0.500
```

Computed properties:
electronic total energy: -20.431 eV for the cell shown
SG: P4/mmm (123)
total magnetic moment: 0.000 μB per atom
N(E_F): 4.44 states/eV per cell